No. 1
Al3TeS after structural relaxation, computed with PBE-GGA. Values from VASP.

Computed properties:
Its calculated density is 2.56 g/cm³. As for the total energy: -13.82 eV/cell. As for the energy above the most stable polymorph in this dataset: 0.6637 eV/atom.

Geometry as Quantum ESPRESSO input:
```
&SYSTEM
  ibrav = 0, nat = 5, ntyp = 3
/
ATOMIC_SPECIES
Al 26.98 Al.upf
S 32.06 S.upf
Te 127.60 Te.upf
ATOMIC_POSITIONS crystal
Al 0.000 0.500 0.000
Al 0.500 0.000 0.000
Al 0.000 0.000 0.500
S 0.500 0.500 0.500
Te 0.000 0.000 0.000
CELL_PARAMETERS angstrom
-4.416 3.033 -0.543
-2.521 -3.010 3.684
1.772 3.276 3.889
```

***

No. 2
YCdCl2 after structural relaxation, computed with PBE-GGA. Values from VASP.

Computed properties:
Its calculated density is 4.51 g/cm³. As for the total energy: -15.60 eV/cell. As for the energy above the most stable polymorph in this dataset: 0.1765 eV/atom.

Geometry as Quantum ESPRESSO input:
```
&SYSTEM
  ibrav = 0, nat = 4, ntyp = 3
/
ATOMIC_SPECIES
Cd 112.41 Cd.upf
Cl 35.45 Cl.upf
Y 88.91 Y.upf
ATOMIC_POSITIONS crystal
Cd 0.500 0.500 0.754
Cl 0.000 0.000 0.036
Cl 0.500 0.500 0.297
Y 0.000 0.000 0.413
CELL_PARAMETERS angstrom
3.764 0.000 0.000
0.000 3.766 0.000
0.000 0.000 7.067
```

***

No. 3
ThHgAuN after structural relaxation, computed with PBE-GGA. Values from VASP.

Computed properties:
Its calculated density is 13.50 g/cm³. As for the total energy: -21.74 eV/cell.

Geometry as Quantum ESPRESSO input:
```
&SYSTEM
  ibrav = 0, nat = 4, ntyp = 4
/
ATOMIC_SPECIES
N 14.01 N.upf
Au 196.97 Au.upf
Hg 200.59 Hg.upf
Th 232.04 Th.upf
ATOMIC_POSITIONS crystal
N 0.378 0.378 0.757
Au 0.569 0.569 0.138
Hg 0.178 0.178 0.356
Th 0.887 0.887 0.774
CELL_PARAMETERS angstrom
3.525 0.000 0.000
0.000 3.525 0.000
-1.763 -1.763 6.372
```

***

> Number 3 is which compound?

ThHgAuN

***

> Which of these has the highest calculated density?

ThHgAuN